# 1
First-principles (PBE) data for HoNiPd2 after structural relaxation, as listed in Alexandria.

Cell and atoms, written as extended XYZ:
```
4
Lattice="0.000 3.237 3.237 3.237 0.000 3.237 3.237 3.237 0.000" Properties=species:S:1:pos:R:3 pbc="T T T"
Ho 0.000 0.000 0.000
Ni 3.237 3.237 3.237
Pd 1.618 1.618 1.618
Pd 4.855 4.855 4.855
```

Computed properties:
formation energy	-512.2	meV/atom
volume	67.82	Å³/f.u.
energy above the lowest structure with this stoichiometry	148	meV/atom
SG	Fm-3m (225)

=====

# 2
First-principles (PBE) data for Ho3Ni7Pd2 after structural relaxation, as listed in Alexandria.

Cell and atoms, written as extended XYZ:
```
12
Lattice="2.512 1.450 8.348 -2.512 1.450 8.348 0.000 -2.901 8.348" Properties=species:S:1:pos:R:3 pbc="T T T"
Ho 0.000 0.000 0.000
Ho 0.000 0.000 3.496
Ho 0.000 0.000 21.547
Ni -1.262 -0.729 10.528
Ni 0.000 -1.458 14.514
Ni -1.262 0.729 14.514
Ni 0.000 0.000 12.521
Ni 1.262 -0.729 10.528
Ni 0.000 1.458 10.528
Ni 1.262 0.729 14.514
Pd 0.000 0.000 8.339
Pd 0.000 0.000 16.704
```

Computed properties:
formation energy	-490.2	meV/atom
volume	182.50	Å³/f.u.
SG	R-3m (166)

=====

# 3
First-principles (PBE) data for Ho8NiPd2 after structural relaxation, as listed in Alexandria.

Cell and atoms, written as extended XYZ:
```
11
Lattice="4.106 -6.523 0.000 4.106 6.523 0.000 -2.266 0.000 5.512" Properties=species:S:1:pos:R:3 pbc="T T T"
Ho 0.000 0.000 0.000
Ho -0.132 1.657 3.078
Ho 2.484 2.581 1.010
Ho -0.132 -1.657 3.078
Ho 2.929 1.651 4.334
Ho 2.484 -2.581 1.010
Ho 2.929 -1.651 4.334
Ho 5.003 0.000 2.050
Ni 2.082 0.000 2.068
Pd 1.406 4.001 3.801
Pd 1.406 -4.001 3.801
```

Computed properties:
formation energy	-286.2	meV/atom
volume	295.27	Å³/f.u.
energy above the lowest structure with this stoichiometry	96	meV/atom
SG	Cm (8)

=====

# 4
First-principles (PBE) data for Ho6NiPd5 after structural relaxation, as listed in Alexandria.

Cell and atoms, written as extended XYZ:
```
12
Lattice="2.475 -7.400 0.000 2.475 7.400 0.000 0.000 0.000 6.877" Properties=species:S:1:pos:R:3 pbc="T T T"
Ho 0.000 0.000 1.689
Ho 0.000 0.000 5.188
Ho 2.475 2.426 1.704
Ho 2.475 2.426 5.174
Ho 2.475 -2.426 1.704
Ho 2.475 -2.426 5.174
Ni 2.475 0.000 0.000
Pd 2.475 4.917 0.000
Pd 2.475 4.908 3.439
Pd 2.475 0.000 3.439
Pd 2.475 -4.917 0.000
Pd 2.475 -4.908 3.439
```

Computed properties:
formation energy	-815.7	meV/atom
volume	251.93	Å³/f.u.
SG	Cmmm (65)

=====

# 5
First-principles (PBE) data for HoNi2Pd after structural relaxation, as listed in Alexandria.

Cell and atoms, written as extended XYZ:
```
4
Lattice="3.967 0.000 0.000 0.000 3.967 0.000 0.000 0.000 3.894" Properties=species:S:1:pos:R:3 pbc="T T T"
Ho 0.000 0.000 0.000
Ni 0.000 1.984 1.947
Ni 1.984 0.000 1.947
Pd 1.984 1.984 0.000
```

Computed properties:
formation energy	-455.4	meV/atom
volume	61.29	Å³/f.u.
SG	P4/mmm (123)

=====

# 6
First-principles (PBE) data for Ho4Ni2Pd after structural relaxation, as listed in Alexandria.

Cell and atoms, written as extended XYZ:
```
14
Lattice="7.391 0.000 0.000 -2.587 6.925 0.000 -2.395 -3.451 6.105" Properties=species:S:1:pos:R:3 pbc="T T T"
Ho 0.000 0.000 0.000
Ho -1.285 3.466 0.017
Ho -1.278 -0.550 3.789
Ho -0.065 2.618 3.046
Ho 1.173 -2.229 5.367
Ho 2.423 -0.539 2.315
Ho 2.266 4.676 0.738
Ho 3.630 2.627 3.075
Ni -2.261 4.709 2.289
Ni -2.253 2.149 5.347
Ni 1.445 2.124 0.775
Ni 1.424 4.711 3.828
Pd 1.496 0.842 4.582
Pd 5.179 0.842 1.534
```

Computed properties:
formation energy	-466.0	meV/atom
volume	156.23	Å³/f.u.
SG	P1 (1)

=====

# 7
First-principles (PBE) data for PmHoNiPd after structural relaxation, as listed in Alexandria.

Cell and atoms, written as extended XYZ:
```
4
Lattice="0.000 3.493 3.493 3.493 0.000 3.493 3.493 3.493 0.000" Properties=species:S:1:pos:R:3 pbc="T T T"
Pm 0.000 0.000 0.000
Ho 3.493 3.493 3.493
Ni 1.747 1.747 1.747
Pd 5.240 5.240 5.240
```

Computed properties:
formation energy	-560.4	meV/atom
volume	85.27	Å³/f.u.
energy above the lowest structure with this stoichiometry	62	meV/atom
SG	F-43m (216)

=====

# 8
First-principles (PBE) data for PmHoNiPd after structural relaxation, as listed in Alexandria.

Cell and atoms, written as extended XYZ:
```
4
Lattice="4.453 0.000 0.000 0.000 1.907 5.184 0.000 -1.907 5.184" Properties=species:S:1:pos:R:3 pbc="T T T"
Pm 0.000 0.000 0.000
Ho 2.226 0.000 7.483
Ni 0.000 0.000 2.868
Pd 2.226 0.000 4.510
```

Computed properties:
formation energy	-622.6	meV/atom
volume	88.05	Å³/f.u.
energy above the lowest structure with this stoichiometry	0	meV/atom
SG	Amm2 (38)

=====

| no. | calculated density (Mg/m³) |
| --- | --- |
| 1 | 10.7 |
| 2 | 10.2 |
| 3 | 8.9 |
| 4 | 10.4 |
| 5 | 10.5 |
| 6 | 9.4 |
| 7 | 9.3 |
| 8 | 9.0 |